The following is a GGA-PBE calculation of a geometry-optimized Li4NdGa4 structure, from Alexandria via LeMat-Bulk.

## Properties
The crystal system is tetragonal. The value obtained for the calculated volume is 327.37 Å³ per cell. The calculation puts the formation enthalpy at 0 K at -0.275 eV/atom.

abc: 5.9278 5.9278 9.3163
angles: 90.00 90.00 90.00
Atoms (fractional coordinates):
Li 0.2272 0.5000 0.9181
Li 0.7728 0.5000 0.9181
Li 0.5000 0.7728 0.0819
Li 0.5000 0.2272 0.0819
Li 0.0000 0.7272 0.4181
Li 0.0000 0.2728 0.4181
Li 0.2728 0.0000 0.5819
Li 0.7272 0.0000 0.5819
Nd 0.0000 0.0000 0.0000
Nd 0.5000 0.5000 0.5000
Ga 0.5000 0.7803 0.7891
Ga 0.5000 0.2197 0.7891
Ga 0.7803 0.5000 0.2109
Ga 0.2197 0.5000 0.2109
Ga 0.2803 0.0000 0.2891
Ga 0.7197 0.0000 0.2891
Ga 0.0000 0.2803 0.7109
Ga 0.0000 0.7197 0.7109


The following is a GGA-PBE calculation of a geometry-optimized SbOs3Pb structure, from Alexandria via LeMat-Bulk.

## Properties
The crystal system is cubic. The value obtained for the calculated volume is 117.55 Å³ per cell. The value obtained for the polymorph energy (0 for the lowest one) is 0.000 eV per formula unit.

abc: 4.8986 4.8986 4.8986
angles: 90.00 90.00 90.00
Atoms (fractional coordinates):
Pb 0.5000 0.5000 0.5000
Sb 0.0000 0.0000 0.0000
Os 0.0000 0.5000 0.0000
Os 0.0000 0.0000 0.5000
Os 0.5000 0.0000 0.0000


The following is a GGA-PBE calculation of a geometry-optimized CaInNi3 structure, from Alexandria via LeMat-Bulk.

## Properties
The crystal system is cubic. The value obtained for the calculated volume is 106.53 Å³ per cell. The value obtained for the polymorph energy (0 for the lowest one) is 0.000 eV per formula unit. The calculation puts the formation enthalpy at 0 K at 0.552 eV/atom.

abc: 4.7404 4.7404 4.7404
angles: 90.00 90.00 90.00
Atoms (fractional coordinates):
Ni 0.0000 0.5000 0.0000
Ni 0.0000 0.0000 0.5000
Ni 0.5000 0.0000 0.0000
Ca 0.5000 0.5000 0.5000
In 0.0000 0.0000 0.0000


The following is a GGA-PBE calculation of a geometry-optimized Ta2MoPb structure, from Alexandria via LeMat-Bulk.

## Properties
The crystal system is tetragonal. The value obtained for the calculated volume is 76.45 Å³ per cell. The calculation puts the formation enthalpy at 0 K at 0.278 eV/atom.

abc: 3.5192 3.5192 6.1734
angles: 90.00 90.00 90.00
Atoms (fractional coordinates):
Mo 0.0000 0.0000 0.4744
Pb 0.5000 0.5000 0.7459
Ta 0.0000 0.0000 0.0276
Ta 0.5000 0.5000 0.2521


> Look up the calculated volume of the third one.

106.53 Å³ per cell